A geometry-optimized HfTi2BiF structure, computed with PBE.

- Total energy: -6.4033 eV per atom
- Crystal system: tetragonal
- Calculated volume: 22.33 A^3/atom

Structure (CIF):
```
data_HfTi2BiF
_cell_length_a 5.2517
_cell_length_b 5.2517
_cell_length_c 4.0485
_cell_angle_alpha 90.00
_cell_angle_beta 90.00
_cell_angle_gamma 90.00
_space_group_name_H-M_alt 'P 4/m m m'
_space_group_IT_number 123
_space_group_name_Hall '-P 4 2'
loop_
_atom_site_label
_atom_site_type_symbol
_atom_site_fract_x
_atom_site_fract_y
_atom_site_fract_z
Hf1 Hf 0.0000 0.0000 0.0000
Ti1 Ti 0.0000 0.5000 0.0000
Bi1 Bi 0.5000 0.5000 0.5000
F1 F 0.0000 0.0000 0.5000
```